Here is a relaxed structure of Fe2PtRh5 from Alexandria. Energies are from GGA-PBE.

The value obtained for the formation energy is -0.094 eV per atom. The value obtained for the electronic total energy is -60.5 eV per cell. The energy relative to the lowest polymorph listed for this composition comes out at 0 meV/atom. The calculation puts the total magnetization at 7.72 μB per formula unit.

a b c (Å): 5.4080 5.4080 5.4080
angles (deg): 119.98 119.98 90.04
Closest atoms and distances in Å follow each position.
Fractional positions:
Fe 0.0000 0.5000 0.5000  10 Rh 2.70, 2 Pt 2.70
Fe 0.5000 0.0000 0.5000  10 Rh 2.70, 2 Pt 2.70
Pt 0.0000 0.0000 0.0000  8 Rh 2.70, 4 Fe 2.70
Rh 0.0000 0.0000 0.5000  4 Fe 2.70, 6 Rh 2.70, 2 Pt 2.70
Rh 0.0000 0.5000 0.0000  4 Fe 2.70, 6 Rh 2.70, 2 Pt 2.70
Rh 0.5000 0.0000 0.0000  4 Fe 2.70, 6 Rh 2.70, 2 Pt 2.70
Rh 0.5000 0.5000 0.0000  8 Rh 2.70, 4 Fe 2.70
Rh 0.5000 0.5000 0.5000  4 Fe 2.70, 6 Rh 2.70, 2 Pt 2.70